[1]
A plane-wave DFT calculation with PBE-GGA was carried out for a geometry-optimized Zr3Cu2Re structure.

```
Zr3Cu2Re
1.0
-3.1848 -0.7535 0.3648
0.8578 -4.3552 -1.5065
0.7980 0.1573 7.2923
Zr Re Cu
3 1 2
direct
0.5000 0.8365 0.6730 Zr
0.5000 0.5000 0.0000 Zr
0.5000 0.1635 0.3270 Zr
0.0000 0.0000 0.0000 Re
0.0000 0.3346 0.6691 Cu
0.0000 0.6654 0.3309 Cu
```

Calculated values
Energy above the most stable polymorph in this dataset, eV per atom: 0.000

[2]
A plane-wave DFT calculation with PBE-GGA was carried out for a geometry-optimized Cu7Rh structure.

```
Cu7Rh
1.0
5.1828 0.0000 0.0000
2.5914 4.4884 0.0000
2.5914 1.4961 4.2317
Cu Rh
7 1
direct
0.5000 0.5000 0.5000 Cu
0.0000 0.5000 0.5000 Cu
0.0000 0.0000 0.5000 Cu
0.5000 0.0000 0.5000 Cu
0.5000 0.0000 0.0000 Cu
0.5000 0.5000 0.0000 Cu
0.0000 0.5000 0.0000 Cu
0.0000 0.0000 0.0000 Rh
```

[3]
A plane-wave DFT calculation with PBE-GGA was carried out for a geometry-optimized Cu5Rh structure.

```
Cu5Rh
1.0
-0.5717 -4.7253 1.5609
1.0250 -4.8795 -0.4806
4.3039 8.5500 2.7201
Cu Rh
5 1
direct
0.4495 0.4495 0.3958 Cu
0.9944 0.9944 0.9956 Cu
0.1080 0.1080 0.7182 Cu
0.6734 0.6734 0.3362 Cu
0.3292 0.3292 0.6621 Cu
0.7788 0.7788 0.0588 Rh
```

[4]
A plane-wave DFT calculation with PBE-GGA was carried out for a geometry-optimized Cu2Rh structure.

```
Cu2Rh
1.0
2.5227 0.0000 0.0000
0.0000 4.0458 0.0000
0.0000 0.0000 16.4885
Cu Rh
8 4
direct
0.0000 0.7500 0.9622 Cu
0.0000 0.7500 0.8140 Cu
0.0000 0.2500 0.1860 Cu
0.0000 0.2500 0.0378 Cu
0.5000 0.7500 0.6860 Cu
0.5000 0.2500 0.4622 Cu
0.5000 0.2500 0.3140 Cu
0.5000 0.7500 0.5378 Cu
0.5000 0.7500 0.1143 Rh
0.0000 0.2500 0.6143 Rh
0.5000 0.2500 0.8857 Rh
0.0000 0.7500 0.3857 Rh
```

Calculated values
Energy above the most stable polymorph in this dataset, eV per atom: 0.232

[5]
A plane-wave DFT calculation with PBE-GGA was carried out for a geometry-optimized CuRh4 structure.

```
CuRh4
1.0
-1.7846 1.7846 6.2056
1.7846 -1.7846 6.2056
1.7846 1.7846 -6.2056
Rh Cu
4 1
direct
0.4026 0.4026 0.0000 Rh
0.5974 0.5974 0.0000 Rh
0.2500 0.7500 0.5000 Rh
0.7500 0.2500 0.5000 Rh
0.0000 0.0000 0.0000 Cu
```

Calculated values
Energy above the most stable polymorph in this dataset, eV per atom: 0.430

[6]
A plane-wave DFT calculation with PBE-GGA was carried out for a geometry-optimized Cu5Rh4 structure.

```
Cu5Rh4
1.0
7.3786 0.0000 0.0000
3.6893 6.3901 0.0000
0.0000 0.0000 5.0924
Rh Cu
8 10
direct
0.0000 0.0000 0.5000 Rh
0.0000 0.6571 0.2500 Rh
0.0000 0.0000 0.0000 Rh
0.3429 0.6571 0.7500 Rh
0.6571 0.0000 0.7500 Rh
0.6571 0.3429 0.2500 Rh
0.0000 0.3429 0.7500 Rh
0.3429 0.0000 0.2500 Rh
0.0000 0.3261 0.2500 Cu
0.3333 0.3333 0.0000 Cu
0.3261 0.6739 0.2500 Cu
0.3261 0.0000 0.7500 Cu
0.6667 0.6667 0.0000 Cu
0.6739 0.0000 0.2500 Cu
0.6667 0.6667 0.5000 Cu
0.3333 0.3333 0.5000 Cu
0.6739 0.3261 0.7500 Cu
0.0000 0.6739 0.7500 Cu
```

Calculated values
Energy above the most stable polymorph in this dataset, eV per atom: 0.134

[7]
A plane-wave DFT calculation with PBE-GGA was carried out for a geometry-optimized Cu3Rh structure.

```
Cu3Rh
1.0
-1.1709 -5.0998 0.8503
3.8146 -1.1354 -1.5570
1.7544 0.2798 4.0941
Cu Rh
6 2
direct
0.7506 0.5000 0.8284 Cu
0.2506 0.0000 0.1716 Cu
0.2494 0.5000 0.8284 Cu
0.0000 0.5000 0.3221 Cu
0.7494 0.0000 0.1716 Cu
0.5000 0.0000 0.6779 Cu
0.0000 0.0000 0.6735 Rh
0.5000 0.5000 0.3265 Rh
```

[8]
A plane-wave DFT calculation with PBE-GGA was carried out for a geometry-optimized Cu7Rh3 structure.

```
Cu7Rh3
1.0
-0.0375 1.8633 3.2081
-4.8976 -1.6763 0.9164
3.6329 -5.7695 1.2480
Cu Rh
7 3
direct
0.4017 0.6988 0.8034 Cu
0.5983 0.3012 0.1966 Cu
0.0000 0.5000 0.0000 Cu
0.1998 0.0967 0.3996 Cu
0.6001 0.8052 0.2002 Cu
0.8002 0.9033 0.6004 Cu
0.3999 0.1948 0.7998 Cu
0.1975 0.5992 0.3950 Rh
0.0000 0.0000 0.0000 Rh
0.8025 0.4008 0.6050 Rh
```

[9]
A plane-wave DFT calculation with PBE-GGA was carried out for a geometry-optimized Cu3Rh13 structure.

```
Cu3Rh13
1.0
-0.6585 2.8906 4.5158
-5.3551 -0.2048 -0.6800
-0.2725 -6.4498 4.0889
Rh Cu
13 3
direct
0.2482 0.2496 0.5000 Rh
0.0004 0.5023 0.7501 Rh
0.4977 0.9996 0.7501 Rh
0.2477 0.7523 0.5000 Rh
0.7510 0.7458 0.0000 Rh
0.5013 0.4987 0.2496 Rh
0.7504 0.7518 0.5000 Rh
0.5013 0.4987 0.7504 Rh
0.2542 0.2490 0.0000 Rh
0.0004 0.5023 0.2499 Rh
0.2506 0.7494 0.0000 Rh
0.7495 0.2505 0.5000 Rh
0.4977 0.9996 0.2499 Rh
0.7572 0.2428 0.0000 Cu
0.9963 0.0037 0.2478 Cu
0.9963 0.0037 0.7522 Cu
```

[10]
A plane-wave DFT calculation with PBE-GGA was carried out for a geometry-optimized Cu3Rh structure.

```
Cu3Rh
1.0
-2.6728 2.1746 -2.9493
-4.2430 0.6767 -1.4527
7.1566 0.2081 7.7167
Cu Rh
3 1
direct
0.0000 0.0000 0.7500 Cu
0.0063 0.0063 0.5045 Cu
0.9937 0.9937 0.9955 Cu
0.0000 0.0000 0.2500 Rh
```

[11]
A plane-wave DFT calculation with PBE-GGA was carried out for a geometry-optimized Cu4Rh5 structure.

```
Cu4Rh5
1.0
-5.6886 -2.8311 3.8144
-3.0506 -6.4156 -2.1115
3.2845 -2.5508 3.0051
Rh Cu
10 8
direct
0.0000 0.3253 0.2500 Rh
0.3253 0.6747 0.2500 Rh
0.6747 0.0000 0.2500 Rh
0.3253 0.0000 0.7500 Rh
0.6667 0.6667 0.5000 Rh
0.6747 0.3253 0.7500 Rh
0.3333 0.3333 0.0000 Rh
0.0000 0.6747 0.7500 Rh
0.3333 0.3333 0.5000 Rh
0.6667 0.6667 0.0000 Rh
0.3382 0.0000 0.2500 Cu
0.0000 0.6618 0.2500 Cu
0.0000 0.0000 0.0000 Cu
0.3382 0.6618 0.7500 Cu
0.0000 0.3382 0.7500 Cu
0.6618 0.3382 0.2500 Cu
0.0000 0.0000 0.5000 Cu
0.6618 0.0000 0.7500 Cu
```

Calculated values
Energy above the most stable polymorph in this dataset, eV per atom: 0.116

[12]
A plane-wave DFT calculation with PBE-GGA was carried out for a geometry-optimized Cu3Rh structure.

```
Cu3Rh
1.0
2.6306 0.0000 0.0000
-1.3153 2.2782 0.0000
0.0000 0.0000 8.5321
Cu Rh
3 1
direct
0.0000 0.0000 0.0068 Cu
0.3333 0.6667 0.2500 Cu
0.0000 0.0000 0.4932 Cu
0.3333 0.6667 0.7500 Rh
```

[13]
A plane-wave DFT calculation with PBE-GGA was carried out for a geometry-optimized Cu5Rh structure.

```
Cu5Rh
1.0
-1.2402 3.6900 -1.4959
-4.6759 1.0713 0.7059
-1.0228 3.3657 3.3371
Cu Rh
5 1
direct
0.1670 0.0841 0.5819 Cu
0.8330 0.4181 0.9159 Cu
0.1670 0.5819 0.0841 Cu
0.8330 0.9159 0.4181 Cu
0.5000 0.0000 0.0000 Cu
0.5000 0.5000 0.5000 Rh
```

[14]
A plane-wave DFT calculation with PBE-GGA was carried out for a geometry-optimized Cu4Rh structure.

```
Cu4Rh
1.0
-4.0388 3.3144 -1.2417
-1.1701 -3.0283 -4.2777
-2.9273 -2.5823 2.6289
Cu Rh
8 2
direct
0.7996 0.6172 0.0000 Cu
0.3828 0.7996 0.0000 Cu
0.2004 0.6172 0.5000 Cu
0.6172 0.2004 0.0000 Cu
0.3828 0.2004 0.5000 Cu
0.7996 0.3828 0.5000 Cu
0.2004 0.3828 0.0000 Cu
0.6172 0.7996 0.5000 Cu
0.0000 0.0000 0.7500 Rh
0.0000 0.0000 0.2500 Rh
```

Calculated values
Energy above the most stable polymorph in this dataset, eV per atom: 0.257

[15]
A plane-wave DFT calculation with PBE-GGA was carried out for a geometry-optimized Cu3Rh structure.

```
Cu3Rh
1.0
3.7104 0.0000 0.0000
0.0000 3.7104 0.0000
-1.8552 -1.8552 7.3412
Rh Cu
2 6
direct
0.6253 0.6253 0.2506 Rh
0.3747 0.3747 0.7494 Rh
0.0000 0.5000 0.0000 Cu
0.1255 0.1255 0.2510 Cu
0.5000 0.0000 0.0000 Cu
0.2500 0.7500 0.5000 Cu
0.7500 0.2500 0.5000 Cu
0.8745 0.8745 0.7490 Cu
```

[16]
A plane-wave DFT calculation with PBE-GGA was carried out for a geometry-optimized Cu5Rh structure.

```
Cu5Rh
1.0
-1.4655 -1.0589 -3.2132
3.4146 -0.0625 -1.5368
-1.1506 -5.1302 2.2154
Cu Rh
5 1
direct
0.0000 0.3311 0.6621 Cu
0.5000 0.8307 0.6614 Cu
0.5000 0.5000 0.0000 Cu
0.5000 0.1693 0.3386 Cu
0.0000 0.6689 0.3379 Cu
0.0000 0.0000 0.0000 Rh
```

[17]
A plane-wave DFT calculation with PBE-GGA was carried out for a geometry-optimized Cu4Rh5 structure.

```
Cu4Rh5
1.0
-0.2083 -6.8952 -4.0372
4.4215 -3.4634 5.6870
0.5321 -5.6726 1.7486
Rh Cu
5 4
direct
0.6667 0.3333 0.0000 Rh
0.3333 0.3333 0.0000 Rh
0.3333 0.6667 0.0000 Rh
0.0000 0.0000 0.0000 Rh
0.6667 0.6667 0.0000 Rh
0.0000 0.3390 0.0000 Cu
0.3390 0.0000 0.0000 Cu
0.0000 0.6610 0.0000 Cu
0.6610 0.0000 0.0000 Cu
```

Calculated values
Energy above the most stable polymorph in this dataset, eV per atom: 0.000

[18]
A plane-wave DFT calculation with PBE-GGA was carried out for a geometry-optimized Cu2Rh structure.

```
Cu2Rh
1.0
-4.0136 1.2505 0.0044
1.4791 -2.3303 3.1708
0.6591 2.1111 1.2439
Rh Cu
1 2
direct
0.0000 0.0000 0.0000 Rh
0.6666 0.3333 0.4534 Cu
0.3333 0.6667 0.5466 Cu
```

Calculated values
Energy above the most stable polymorph in this dataset, eV per atom: 0.070

[19]
A plane-wave DFT calculation with PBE-GGA was carried out for a geometry-optimized Cu4Rh structure.

```
Cu4Rh
1.0
-1.7910 0.8135 -4.1483
2.8324 -3.1135 -1.8334
-3.1382 -3.2745 0.7127
Cu Rh
4 1
direct
0.0000 0.0000 0.0000 Cu
0.5000 0.5000 0.0000 Cu
0.0000 0.5000 0.5000 Cu
0.5000 0.0000 0.5000 Cu
0.5000 0.5000 0.5000 Rh
```

Calculated values
Energy above the most stable polymorph in this dataset, eV per atom: 1.198

[20]
A plane-wave DFT calculation with PBE-GGA was carried out for a geometry-optimized Cu2Rh structure.

```
Cu2Rh
1.0
-3.2805 0.0295 2.6763
0.2655 -2.9851 -2.9905
2.5778 -2.9689 3.1925
Cu Rh
4 2
direct
0.6667 0.3333 0.7500 Cu
0.0000 0.0000 0.5000 Cu
0.3333 0.6667 0.2500 Cu
0.0000 0.0000 0.0000 Cu
0.6667 0.3333 0.2500 Rh
0.3333 0.6667 0.7500 Rh
```

Calculated values
Energy above the most stable polymorph in this dataset, eV per atom: 0.132

For reference, total moment by record: 0.00 0.00 0.42 0.01 0.00 0.01 0.00 0.00 0.00 0.48 0.12 0.45 0.00 0.00 0.00 0.00 0.01 0.04 0.00 0.01 μB/cell.
For reference, DFT formation energy by record: -194 2 29 271 455 195 38 55 56 39 210 60 74 279 38 15 94 108 1219 171 meV per atom.